Compound: Mo2AsRu
Source: Alexandria
Functional: PBE
Structure: optimized geometry

a b c (Å): 2.849 4.230 5.166
angles (deg): 90.00 102.01 90.00
Space group Pm (No. 6)
Unique sites:
1 Mo 0.000 0.000 0.000 (multiplicity 1)
2 Mo 0.260 0.500 0.729 (multiplicity 1)
3 As 0.694 0.000 0.492 (multiplicity 1)
4 Ru 0.615 0.500 0.245 (multiplicity 1)

Values from the calculation:
- Energy of formation from the pure elements: 0.16 eV/f.u.
- Total moment: 0.000 μB/cell
- DFT total energy: -8.8580 eV/atom